LiPrErCd: relaxed, PBE.

abc: 5.3435 5.3435 5.3435
angles: 60.00 60.00 60.00
With the nearest neighbours (Å) after each atom.
Fractional coordinates of all 4 atoms:
Er (0.5000, 0.5000, 0.5000)  4 Cd 3.27, 4 Li 3.27
Cd (0.7500, 0.7500, 0.7500)  4 Er 3.27, 4 Pr 3.27
Li (0.2500, 0.2500, 0.2500)  4 Pr 3.27, 4 Er 3.27
Pr (0.0000, 0.0000, 0.0000)  4 Cd 3.27, 4 Li 3.27

Computed properties:
ρ in g/cm³: 6.58
Energy relative to the elements in eV/atom: -0.111

***

Tb2YAg: relaxed, PBE.

abc: 3.5807 3.5807 8.9186
angles: 90.00 90.00 90.00
With the nearest neighbours (Å) after each atom.
Fractional coordinates of all 4 atoms:
Y (0.5000, 0.5000, 0.5000)  4 Y 3.58, 8 Tb 3.59
Ag (0.5000, 0.5000, 0.0000)  8 Tb 3.17
Tb (0.0000, 0.0000, 0.2139)  4 Ag 3.17
Tb (0.0000, 0.0000, 0.7861)  4 Ag 3.17

Computed properties:
Energy above the most stable polymorph in this dataset in eV per atom: 0.000
ρ in g/cm³: 7.47
Energy relative to the elements in eV/atom: -0.128

***

K2CaSn2: relaxed, PBE.

abc: 8.4249 8.4249 5.6426
angles: 90.00 90.00 90.00
With the nearest neighbours (Å) after each atom.
Fractional coordinates of all 10 atoms:
K (0.3273, 0.1727, 0.5000)  6 Sn 3.76-3.77, 1 K 4.12, 4 Ca 4.20
K (0.1727, 0.6727, 0.5000)  6 Sn 3.76-3.77, 1 K 4.12, 4 Ca 4.20
K (0.6727, 0.8273, 0.5000)  6 Sn 3.76-3.77, 1 K 4.12, 4 Ca 4.20
K (0.8273, 0.3273, 0.5000)  6 Sn 3.76-3.77, 1 K 4.12, 4 Ca 4.20
Ca (0.5000, 0.5000, 0.0000)  4 Sn 3.37
Ca (0.0000, 0.0000, 0.0000)  4 Sn 3.37
Sn (0.8825, 0.6175, 0.0000)  1 Sn 2.80
Sn (0.1175, 0.3825, 0.0000)  1 Sn 2.80
Sn (0.6175, 0.1175, 0.0000)  1 Sn 2.80
Sn (0.3825, 0.8825, 0.0000)  1 Sn 2.80

Computed properties:
Energy above the most stable polymorph in this dataset in eV per atom: 0.000
ρ in g/cm³: 2.95
Energy relative to the elements in eV/atom: -0.177

***

SrCuBW2: relaxed, PBE.

abc: 4.3462 4.5296 4.3462
angles: 90.00 90.00 90.00
With the nearest neighbours (Å) after each atom.
Fractional coordinates of all 5 atoms:
W (0.5000, 0.0000, 0.0000)  2 B 2.17
W (0.0000, 0.0000, 0.5000)  2 B 2.17
B (0.0000, 0.0000, 0.0000)  4 W 2.17, 2 Cu 2.26
Sr (0.5000, 0.5000, 0.5000)  4 Cu 3.07, 8 W 3.14
Cu (0.0000, 0.5000, 0.0000)  2 B 2.26

Computed properties:
ρ in g/cm³: 10.28
Energy relative to the elements in eV/atom: 0.855

***

Q: The highest energy relative to the elements belongs to which entry?
A: SrCuBW2